! AlAg (SCAN, PBEsol geometry); values from VASP
! ΔH_f (0 K) = -0.0888 eV per atom
! calculated density = 6.92 g/cm³
! symmetry = No. 12
&SYSTEM
  ibrav = 0, nat = 8, ntyp = 2
/
ATOMIC_SPECIES
Al 26.98 Al.upf
Ag 107.87 Ag.upf
CELL_PARAMETERS angstrom
4.739 -1.963 0.000
4.739 1.963 0.000
-4.198 0.000 6.952
ATOMIC_POSITIONS crystal
Al 0.122 0.122 0.193
Al 0.375 0.375 0.066
Al 0.625 0.625 0.934
Al 0.878 0.878 0.807
Ag 0.134 0.134 0.702
Ag 0.376 0.376 0.566
Ag 0.624 0.624 0.434
Ag 0.866 0.866 0.298



! Al7Ag5 (SCAN, PBEsol geometry); values from VASP
! ΔH_f (0 K) = -0.0439 eV per atom
! calculated density = 6.21 g/cm³
! energy above the most stable polymorph in this dataset = 0.67 kcal/mol of atoms
! symmetry = No. 35
&SYSTEM
  ibrav = 0, nat = 12, ntyp = 2
/
ATOMIC_SPECIES
Al 26.98 Al.upf
Ag 107.87 Ag.upf
CELL_PARAMETERS angstrom
1.997 -6.094 0.000
1.997 6.094 0.000
0.000 0.000 8.005
ATOMIC_POSITIONS crystal
Al 0.000 0.000 0.000
Al 0.168 0.832 0.266
Al 0.332 0.668 0.009
Al 0.336 0.664 0.516
Al 0.664 0.336 0.516
Al 0.668 0.332 0.009
Al 0.832 0.168 0.266
Ag 0.000 0.000 0.500
Ag 0.167 0.833 0.764
Ag 0.500 0.500 0.244
Ag 0.500 0.500 0.761
Ag 0.833 0.167 0.764



! Al3Ag (SCAN, PBEsol geometry); values from VASP
! ΔH_f (0 K) = -0.0083 eV per atom
! calculated density = 4.83 g/cm³
! symmetry = No. 187
&SYSTEM
  ibrav = 0, nat = 4, ntyp = 2
/
ATOMIC_SPECIES
Al 26.98 Al.upf
Ag 107.87 Ag.upf
CELL_PARAMETERS angstrom
2.867 0.000 0.000
-1.434 2.483 0.000
0.000 0.000 9.116
ATOMIC_POSITIONS crystal
Al 0.000 0.000 0.000
Al 0.333 0.667 0.253
Al 0.333 0.667 0.747
Ag 0.000 0.000 0.500



! Al3Ag5 (SCAN, PBEsol geometry); values from VASP
! ΔH_f (0 K) = -0.0867 eV per atom
! calculated density = 7.98 g/cm³
! energy above the most stable polymorph in this dataset = 0.61 kcal/mol of atoms
! symmetry = No. 25
&SYSTEM
  ibrav = 0, nat = 8, ntyp = 2
/
ATOMIC_SPECIES
Al 26.98 Al.upf
Ag 107.87 Ag.upf
CELL_PARAMETERS angstrom
3.989 0.000 0.000
0.000 5.816 0.000
0.000 0.000 5.564
ATOMIC_POSITIONS crystal
Al 0.000 0.000 0.000
Al 0.500 0.254 0.725
Al 0.500 0.746 0.725
Ag 0.000 0.000 0.507
Ag 0.000 0.500 0.482
Ag 0.000 0.500 0.974
Ag 0.500 0.244 0.223
Ag 0.500 0.756 0.223



! Al5Ag6 (SCAN, PBEsol geometry); values from VASP
! ΔH_f (0 K) = -0.0781 eV per atom
! calculated density = 7.33 g/cm³
! energy above the most stable polymorph in this dataset = 0.11 kcal/mol of atoms
! symmetry = No. 1
&SYSTEM
  ibrav = 0, nat = 11, ntyp = 2
/
ATOMIC_SPECIES
Al 26.98 Al.upf
Ag 107.87 Ag.upf
CELL_PARAMETERS angstrom
4.753 0.000 0.000
-0.731 4.856 0.000
-0.293 -1.171 7.682
ATOMIC_POSITIONS crystal
Al 0.000 0.000 0.000
Al 0.103 0.536 0.190
Al 0.206 0.083 0.369
Al 0.452 0.715 0.903
Al 0.826 0.898 0.635
Ag 0.296 0.633 0.543
Ag 0.358 0.171 0.726
Ag 0.537 0.249 0.091
Ag 0.659 0.802 0.265
Ag 0.752 0.343 0.457
Ag 0.909 0.462 0.832



! Al5Ag2 (SCAN, PBEsol geometry); values from VASP
! ΔH_f (0 K) = -0.0306 eV per atom
! calculated density = 5.13 g/cm³
! energy above the most stable polymorph in this dataset = 0.51 kcal/mol of atoms
! symmetry = No. 139
&SYSTEM
  ibrav = 0, nat = 7, ntyp = 2
/
ATOMIC_SPECIES
Al 26.98 Al.upf
Ag 107.87 Ag.upf
CELL_PARAMETERS angstrom
-1.438 1.438 13.723
1.438 -1.438 13.723
1.438 1.438 -13.723
ATOMIC_POSITIONS crystal
Al 0.000 0.000 0.000
Al 0.142 0.142 0.000
Al 0.286 0.286 0.000
Al 0.714 0.714 0.000
Al 0.858 0.858 0.000
Ag 0.429 0.429 0.000
Ag 0.571 0.571 0.000



! Al4Ag5 (SCAN, PBEsol geometry); values from VASP
! ΔH_f (0 K) = -0.0907 eV per atom
! calculated density = 7.43 g/cm³
! energy above the most stable polymorph in this dataset = 0.12 kcal/mol of atoms
! symmetry = No. 12
&SYSTEM
  ibrav = 0, nat = 9, ntyp = 2
/
ATOMIC_SPECIES
Al 26.98 Al.upf
Ag 107.87 Ag.upf
CELL_PARAMETERS angstrom
5.963 -1.989 0.000
5.963 1.989 0.000
-2.320 0.000 6.101
ATOMIC_POSITIONS crystal
Al 0.161 0.161 0.492
Al 0.281 0.281 0.169
Al 0.719 0.719 0.831
Al 0.839 0.839 0.508
Ag 0.061 0.061 0.836
Ag 0.377 0.377 0.821
Ag 0.500 0.500 0.500
Ag 0.623 0.623 0.179
Ag 0.939 0.939 0.164



! Al3Ag5 (SCAN, PBEsol geometry); values from VASP
! ΔH_f (0 K) = -0.0814 eV per atom
! calculated density = 8.02 g/cm³
! energy above the most stable polymorph in this dataset = 0.73 kcal/mol of atoms
! symmetry = No. 22
&SYSTEM
  ibrav = 0, nat = 8, ntyp = 2
/
ATOMIC_SPECIES
Al 26.98 Al.upf
Ag 107.87 Ag.upf
CELL_PARAMETERS angstrom
0.000 4.043 5.651
2.810 0.000 5.651
2.810 4.043 0.000
ATOMIC_POSITIONS crystal
Al 0.000 0.000 0.000
Al 0.628 0.628 0.872
Al 0.872 0.872 0.628
Ag 0.118 0.118 0.382
Ag 0.244 0.244 0.756
Ag 0.382 0.382 0.118
Ag 0.500 0.500 0.500
Ag 0.756 0.756 0.244



! Al3Ag (SCAN, PBEsol geometry); values from VASP
! ΔH_f (0 K) = -0.0141 eV per atom
! calculated density = 4.81 g/cm³
! symmetry = No. 47
&SYSTEM
  ibrav = 0, nat = 4, ntyp = 2
/
ATOMIC_SPECIES
Al 26.98 Al.upf
Ag 107.87 Ag.upf
CELL_PARAMETERS angstrom
2.833 0.000 0.000
0.000 4.003 0.000
0.000 0.000 5.747
ATOMIC_POSITIONS crystal
Al 0.000 0.000 0.000
Al 0.500 0.500 0.247
Al 0.500 0.500 0.753
Ag 0.000 0.000 0.500



! Al3Ag5 (SCAN, PBEsol geometry); values from VASP
! ΔH_f (0 K) = -0.0759 eV per atom
! calculated density = 7.99 g/cm³
! energy above the most stable polymorph in this dataset = 0.86 kcal/mol of atoms
! symmetry = No. 166
&SYSTEM
  ibrav = 0, nat = 8, ntyp = 2
/
ATOMIC_SPECIES
Al 26.98 Al.upf
Ag 107.87 Ag.upf
CELL_PARAMETERS angstrom
2.874 1.659 4.505
-2.874 1.659 4.505
0.000 -3.318 4.505
ATOMIC_POSITIONS crystal
Al 0.000 0.500 0.500
Al 0.500 0.000 0.500
Al 0.500 0.500 0.000
Ag 0.000 0.000 0.000
Ag 0.000 0.000 0.500
Ag 0.000 0.500 0.000
Ag 0.500 0.000 0.000
Ag 0.500 0.500 0.500



Repeat the third record exactly.
! Al3Ag (SCAN, PBEsol geometry); values from VASP
! ΔH_f (0 K) = -0.0083 eV per atom
! calculated density = 4.83 g/cm³
! symmetry = No. 187
&SYSTEM
  ibrav = 0, nat = 4, ntyp = 2
/
ATOMIC_SPECIES
Al 26.98 Al.upf
Ag 107.87 Ag.upf
CELL_PARAMETERS angstrom
2.867 0.000 0.000
-1.434 2.483 0.000
0.000 0.000 9.116
ATOMIC_POSITIONS crystal
Al 0.000 0.000 0.000
Al 0.333 0.667 0.253
Al 0.333 0.667 0.747
Ag 0.000 0.000 0.500